# 1
A relaxed CuHgSe2 crystal, computed with PBE.

CIF file:
```
data_CuHgSe2
_chemical_formula_sum 'Cu16 Hg16 Se32'
_cell_length_a 11.649
_cell_length_b 11.759
_cell_length_c 11.937
_cell_angle_alpha 90.00
_cell_angle_beta 92.44
_cell_angle_gamma 90.00
_symmetry_space_group_name_H-M 'C 1 2/c 1'
_symmetry_Int_Tables_number 15
_symmetry_space_group_name_Hall '-C 2yc'
loop_
_atom_site_label
_atom_site_fract_x
_atom_site_fract_y
_atom_site_fract_z
Cu1 0.100 0.099 0.092
Cu2 0.138 0.341 0.346
Hg1 0.122 0.136 0.863
Hg2 0.146 0.398 0.654
Se1 0.000 0.016 0.250
Se2 0.000 0.461 0.250
Se3 0.063 0.212 0.488
Se4 0.214 0.066 0.530
Se5 0.221 0.228 0.201
```

Computed properties:
**Formation energy (no corrections)**: -0.104 eV/atom
**Fermi-level density of states**: 2.1 states/eV/cell

=====

# 2
A relaxed Tb5CeSmEr2 crystal, computed with PBE.

CIF file:
```
data_Tb5CeSmEr2
_chemical_formula_sum 'Tb20 Ce4 Sm4 Er8'
_cell_length_a 5.700
_cell_length_b 21.475
_cell_length_c 9.587
_cell_angle_alpha 90.00
_cell_angle_beta 90.00
_cell_angle_gamma 90.00
_symmetry_space_group_name_H-M 'C m c 21'
_symmetry_Int_Tables_number 36
_symmetry_space_group_name_Hall 'C 2c -2'
loop_
_atom_site_label
_atom_site_fract_x
_atom_site_fract_y
_atom_site_fract_z
Tb1 0.000 0.013 0.000
Tb2 0.000 0.267 0.317
Tb3 0.000 0.305 0.700
Tb4 0.000 0.394 0.028
Tb5 0.000 0.471 0.733
Ce1 0.000 0.193 0.009
Sm1 0.000 0.403 0.411
Er1 0.000 0.114 0.310
Er2 0.000 0.134 0.693
```

Computed properties:
**Energy relative to the elements**: 0.173 eV per atom
**Fermi-level density of states**: 63.6 states/eV/cell

=====

# 3
A relaxed AcRhAu2 crystal, computed with PBE.

CIF file:
```
data_AcRhAu2
_chemical_formula_sum 'Ac1 Rh1 Au2'
_cell_length_a 4.281
_cell_length_b 4.281
_cell_length_c 4.703
_cell_angle_alpha 90.00
_cell_angle_beta 90.00
_cell_angle_gamma 90.00
_symmetry_space_group_name_H-M 'P 4/m m m'
_symmetry_Int_Tables_number 123
_symmetry_space_group_name_Hall '-P 4 2'
loop_
_atom_site_label
_atom_site_fract_x
_atom_site_fract_y
_atom_site_fract_z
Ac1 0.000 0.000 0.000
Rh1 0.500 0.500 0.000
Au1 0.000 0.500 0.500
```

Computed properties:
**Energy relative to the elements**: -0.479 eV per atom
**Fermi-level density of states**: 1.2 states/eV/cell

=====

# 4
A relaxed HfSc2I crystal, computed with PBE.

CIF file:
```
data_HfSc2I
_chemical_formula_sum 'Hf4 Sc8 I4'
_cell_length_a 7.226
_cell_length_b 7.226
_cell_length_c 7.226
_cell_angle_alpha 90.00
_cell_angle_beta 90.00
_cell_angle_gamma 90.00
_symmetry_space_group_name_H-M 'F m -3 m'
_symmetry_Int_Tables_number 225
_symmetry_space_group_name_Hall '-F 4 2 3'
loop_
_atom_site_label
_atom_site_fract_x
_atom_site_fract_y
_atom_site_fract_z
Hf1 0.000 0.000 0.000
Sc1 0.250 0.250 0.250
I1 0.000 0.000 0.500
```

Computed properties:
**Formation energy (no corrections)**: 0.346 eV/atom
**Fermi-level density of states**: 22.4 states/eV/cell

=====

# 5
A relaxed CaAc3Pr6 crystal, computed with PBE.

CIF file:
```
data_CaAc3Pr6
_chemical_formula_sum 'Ca2 Ac6 Pr12'
_cell_length_a 3.848
_cell_length_b 8.768
_cell_length_c 24.376
_cell_angle_alpha 90.00
_cell_angle_beta 99.05
_cell_angle_gamma 90.00
_symmetry_space_group_name_H-M 'P 1 21/c 1'
_symmetry_Int_Tables_number 14
_symmetry_space_group_name_Hall '-P 2ybc'
loop_
_atom_site_label
_atom_site_fract_x
_atom_site_fract_y
_atom_site_fract_z
Ca1 0.000 0.000 0.000
Ac1 0.227 0.111 0.229
Ac2 0.500 0.000 0.500
Pr1 0.146 0.006 0.646
Pr2 0.376 0.174 0.875
Pr3 0.396 0.697 0.398
```

Computed properties:
**Energy relative to the elements**: 0.163 eV per atom
**Fermi-level density of states**: 30.2 states/eV/cell

=====

# 6
A relaxed RbP2O2 crystal, computed with PBE.

CIF file:
```
data_RbP2O2
_chemical_formula_sum 'Rb1 P2 O2'
_cell_length_a 3.877
_cell_length_b 3.877
_cell_length_c 6.953
_cell_angle_alpha 90.00
_cell_angle_beta 90.00
_cell_angle_gamma 90.00
_symmetry_space_group_name_H-M 'P 4/m m m'
_symmetry_Int_Tables_number 123
_symmetry_space_group_name_Hall '-P 4 2'
loop_
_atom_site_label
_atom_site_fract_x
_atom_site_fract_y
_atom_site_fract_z
Rb1 0.000 0.000 0.000
P1 0.000 0.500 0.500
O1 0.500 0.500 0.000
O2 0.500 0.500 0.500
```

Computed properties:
**Formation energy (no corrections)**: 0.330 eV/atom
**Fermi-level density of states**: 9.0 states/eV/cell

=====

# 7
A relaxed Pr2SiB2Ru5 crystal, computed with PBE.

CIF file:
```
data_Pr2SiB2Ru5
_chemical_formula_sum 'Pr4 Si2 B4 Ru10'
_cell_length_a 9.700
_cell_length_b 9.700
_cell_length_c 3.129
_cell_angle_alpha 90.00
_cell_angle_beta 90.00
_cell_angle_gamma 90.00
_symmetry_space_group_name_H-M 'P 4/m b m'
_symmetry_Int_Tables_number 127
_symmetry_space_group_name_Hall '-P 4 2ab'
loop_
_atom_site_label
_atom_site_fract_x
_atom_site_fract_y
_atom_site_fract_z
Pr1 0.177 0.323 0.000
Si1 0.000 0.000 0.000
B1 0.122 0.622 0.000
Ru1 0.000 0.500 0.500
Ru2 0.067 0.785 0.500
```

Computed properties:
**Formation energy (no corrections)**: -0.321 eV/atom
**Fermi-level density of states**: 17.2 states/eV/cell

=====

# 8
A relaxed Tb5Nd6Er crystal, computed with PBE.

CIF file:
```
data_Tb5Nd6Er
_chemical_formula_sum 'Tb10 Nd12 Er2'
_cell_length_a 5.131
_cell_length_b 10.169
_cell_length_c 15.371
_cell_angle_alpha 90.00
_cell_angle_beta 90.00
_cell_angle_gamma 90.00
_symmetry_space_group_name_H-M 'I m m m'
_symmetry_Int_Tables_number 71
_symmetry_space_group_name_Hall '-I 2 2'
loop_
_atom_site_label
_atom_site_fract_x
_atom_site_fract_y
_atom_site_fract_z
Tb1 0.000 0.000 0.000
Tb2 0.000 0.000 0.334
Tb3 0.000 0.500 0.333
Nd1 0.000 0.249 0.500
Nd2 0.000 0.250 0.167
Er1 0.000 0.500 0.000
```

Computed properties:
**Energy relative to the elements**: 0.014 eV per atom
**Fermi-level density of states**: 31.9 states/eV/cell

=====

# 9
A relaxed LiTbPrGa crystal, computed with PBE.

CIF file:
```
data_LiTbPrGa
_chemical_formula_sum 'Li4 Tb4 Pr4 Ga4'
_cell_length_a 7.370
_cell_length_b 7.370
_cell_length_c 7.370
_cell_angle_alpha 90.00
_cell_angle_beta 90.00
_cell_angle_gamma 90.00
_symmetry_space_group_name_H-M 'F -4 3 m'
_symmetry_Int_Tables_number 216
_symmetry_space_group_name_Hall 'F -4 2 3'
loop_
_atom_site_label
_atom_site_fract_x
_atom_site_fract_y
_atom_site_fract_z
Li1 0.000 0.000 0.000
Tb1 0.250 0.250 0.750
Pr1 0.250 0.250 0.250
Ga1 0.000 0.000 0.500
```

Computed properties:
**Energy relative to the elements**: -0.296 eV per atom
**Fermi-level density of states**: 15.9 states/eV/cell

=====

# 10
A relaxed HfIn2Br4F2 crystal, computed with PBE.

CIF file:
```
data_HfIn2Br4F2
_chemical_formula_sum 'Hf2 In4 Br8 F4'
_cell_length_a 12.809
_cell_length_b 7.778
_cell_length_c 6.072
_cell_angle_alpha 90.00
_cell_angle_beta 105.88
_cell_angle_gamma 90.00
_symmetry_space_group_name_H-M 'C 1 2/m 1'
_symmetry_Int_Tables_number 12
_symmetry_space_group_name_Hall '-C 2y'
loop_
_atom_site_label
_atom_site_fract_x
_atom_site_fract_y
_atom_site_fract_z
Hf1 0.000 0.000 0.000
In1 0.233 0.500 0.302
Br1 0.098 0.242 0.822
F1 0.123 0.000 0.280
```

Computed properties:
**Formation energy (no corrections)**: -1.702 eV/atom
**Fermi-level density of states**: 0.0 states/eV/cell

=====

# 11
A relaxed MnSb2As crystal, computed with PBE.

CIF file:
```
data_MnSb2As
_chemical_formula_sum 'Mn2 Sb4 As2'
_cell_length_a 5.822
_cell_length_b 8.030
_cell_length_c 5.033
_cell_angle_alpha 90.00
_cell_angle_beta 125.00
_cell_angle_gamma 90.00
_symmetry_space_group_name_H-M 'C 1 2/m 1'
_symmetry_Int_Tables_number 12
_symmetry_space_group_name_Hall '-C 2y'
loop_
_atom_site_label
_atom_site_fract_x
_atom_site_fract_y
_atom_site_fract_z
Mn1 0.000 0.000 0.000
Sb1 0.250 0.250 0.500
As1 0.000 0.500 0.000
```

Computed properties:
**Formation energy (no corrections)**: 0.225 eV/atom
**Fermi-level density of states**: 6.5 states/eV/cell

=====

# 12
A relaxed KY2Cd crystal, computed with PBE.

CIF file:
```
data_KY2Cd
_chemical_formula_sum 'K1 Y2 Cd1'
_cell_length_a 3.545
_cell_length_b 5.507
_cell_length_c 7.166
_cell_angle_alpha 90.00
_cell_angle_beta 103.57
_cell_angle_gamma 90.00
_symmetry_space_group_name_H-M 'P 1 2/m 1'
_symmetry_Int_Tables_number 10
_symmetry_space_group_name_Hall '-P 2y'
loop_
_atom_site_label
_atom_site_fract_x
_atom_site_fract_y
_atom_site_fract_z
K1 0.000 0.000 0.000
Y1 0.316 0.500 0.704
Cd1 0.500 0.000 0.500
```

Computed properties:
**Energy relative to the elements**: 0.241 eV per atom
**Fermi-level density of states**: 4.3 states/eV/cell

=====

# 13
A relaxed Zn2CdAu8 crystal, computed with PBE.

CIF file:
```
data_Zn2CdAu8
_chemical_formula_sum 'Zn4 Cd2 Au16'
_cell_length_a 14.576
_cell_length_b 4.222
_cell_length_c 6.724
_cell_angle_alpha 90.00
_cell_angle_beta 109.97
_cell_angle_gamma 90.00
_symmetry_space_group_name_H-M 'C 1 2/m 1'
_symmetry_Int_Tables_number 12
_symmetry_space_group_name_Hall '-C 2y'
loop_
_atom_site_label
_atom_site_fract_x
_atom_site_fract_y
_atom_site_fract_z
Zn1 0.220 0.000 0.153
Cd1 0.000 0.500 0.500
Au1 0.043 0.000 0.226
Au2 0.103 0.500 0.963
Au3 0.151 0.000 0.717
Au4 0.180 0.500 0.424
```

Computed properties:
**Energy relative to the elements**: -0.135 eV per atom
**Fermi-level density of states**: 3.9 states/eV/cell

=====

# 14
A relaxed NbBr2O2 crystal, computed with PBE.

CIF file:
```
data_NbBr2O2
_chemical_formula_sum 'Nb2 Br4 O4'
_cell_length_a 7.017
_cell_length_b 7.017
_cell_length_c 4.044
_cell_angle_alpha 90.00
_cell_angle_beta 90.00
_cell_angle_gamma 90.00
_symmetry_space_group_name_H-M 'P 4/m b m'
_symmetry_Int_Tables_number 127
_symmetry_space_group_name_Hall '-P 4 2ab'
loop_
_atom_site_label
_atom_site_fract_x
_atom_site_fract_y
_atom_site_fract_z
Nb1 0.000 0.000 0.000
Br1 0.170 0.330 0.000
O1 0.223 0.277 0.500
```

Computed properties:
**Formation energy (no corrections)**: 0.498 eV/atom
**Fermi-level density of states**: 5.9 states/eV/cell

=====

# 15
A relaxed BeAuCl3 crystal, computed with PBE.

CIF file:
```
data_BeAuCl3
_chemical_formula_sum 'Be1 Au1 Cl3'
_cell_length_a 4.559
_cell_length_b 4.559
_cell_length_c 4.559
_cell_angle_alpha 90.00
_cell_angle_beta 90.00
_cell_angle_gamma 90.00
_symmetry_space_group_name_H-M 'P m -3 m'
_symmetry_Int_Tables_number 221
_symmetry_space_group_name_Hall '-P 4 2 3'
loop_
_atom_site_label
_atom_site_fract_x
_atom_site_fract_y
_atom_site_fract_z
Be1 0.000 0.000 0.000
Au1 0.500 0.500 0.500
Cl1 0.000 0.000 0.500
```

Computed properties:
**Formation energy (no corrections)**: -0.275 eV/atom
**Fermi-level density of states**: 0.0 states/eV/cell

=====

# 16
A relaxed ThInGa2I8 crystal, computed with PBE.

CIF file:
```
data_ThInGa2I8
_chemical_formula_sum 'Th1 In1 Ga2 I8'
_cell_length_a 7.384
_cell_length_b 9.348
_cell_length_c 7.812
_cell_angle_alpha 90.00
_cell_angle_beta 92.15
_cell_angle_gamma 90.00
_symmetry_space_group_name_H-M 'P 1 2/m 1'
_symmetry_Int_Tables_number 10
_symmetry_space_group_name_Hall '-P 2y'
loop_
_atom_site_label
_atom_site_fract_x
_atom_site_fract_y
_atom_site_fract_z
Th1 0.000 0.000 0.000
In1 0.000 0.500 0.000
Ga1 0.500 0.267 0.500
I1 0.229 0.240 0.840
I2 0.254 0.000 0.319
I3 0.260 0.500 0.316
```

Computed properties:
**Formation energy (no corrections)**: -0.698 eV/atom
**Fermi-level density of states**: 4.1 states/eV/cell

=====

# 17
A relaxed Be2PtF crystal, computed with PBE.

CIF file:
```
data_Be2PtF
_chemical_formula_sum 'Be4 Pt2 F2'
_cell_length_a 2.776
_cell_length_b 6.044
_cell_length_c 6.439
_cell_angle_alpha 68.47
_cell_angle_beta 77.67
_cell_angle_gamma 89.97
_symmetry_space_group_name_H-M 'P -1'
_symmetry_Int_Tables_number 2
_symmetry_space_group_name_Hall '-P 1'
loop_
_atom_site_label
_atom_site_fract_x
_atom_site_fract_y
_atom_site_fract_z
Be1 0.067 0.398 0.365
Be2 0.195 0.062 0.109
Pt1 0.406 0.268 0.691
F1 0.153 0.275 0.192
```

Computed properties:
**Formation energy (no corrections)**: -1.364 eV/atom
**Fermi-level density of states**: 2.1 states/eV/cell

=====

# 18
A relaxed CaTeHF crystal, computed with PBE.

CIF file:
```
data_CaTeHF
_chemical_formula_sum 'Ca1 Te1 H1 F1'
_cell_length_a 4.053
_cell_length_b 5.170
_cell_length_c 4.140
_cell_angle_alpha 90.00
_cell_angle_beta 119.25
_cell_angle_gamma 90.00
_symmetry_space_group_name_H-M 'P 1 m 1'
_symmetry_Int_Tables_number 6
_symmetry_space_group_name_Hall 'P -2y'
loop_
_atom_site_label
_atom_site_fract_x
_atom_site_fract_y
_atom_site_fract_z
Ca1 0.000 0.000 0.000
Te1 0.392 0.500 0.783
H1 0.160 0.500 0.311
F1 0.681 0.000 0.363
```

Computed properties:
**E**: -17.1 eV for the cell shown

=====

# 19
A relaxed TaAlAu2N crystal, computed with PBE.

CIF file:
```
data_TaAlAu2N
_chemical_formula_sum 'Ta1 Al1 Au2 N1'
_cell_length_a 4.513
_cell_length_b 4.513
_cell_length_c 4.077
_cell_angle_alpha 90.00
_cell_angle_beta 90.00
_cell_angle_gamma 90.00
_symmetry_space_group_name_H-M 'P 4/m m m'
_symmetry_Int_Tables_number 123
_symmetry_space_group_name_Hall '-P 4 2'
loop_
_atom_site_label
_atom_site_fract_x
_atom_site_fract_y
_atom_site_fract_z
Ta1 0.000 0.000 0.000
Al1 0.500 0.500 0.000
Au1 0.000 0.500 0.500
N1 0.000 0.000 0.500
```

Computed properties:
**Formation energy (no corrections)**: 0.287 eV/atom
**Fermi-level density of states**: 2.0 states/eV/cell

=====

# 20
A relaxed TmMoW crystal, computed with PBE.

CIF file:
```
data_TmMoW
_chemical_formula_sum 'Tm8 Mo8 W8'
_cell_length_a 5.704
_cell_length_b 8.550
_cell_length_c 10.090
_cell_angle_alpha 90.00
_cell_angle_beta 90.00
_cell_angle_gamma 90.00
_symmetry_space_group_name_H-M 'F m m m'
_symmetry_Int_Tables_number 69
_symmetry_space_group_name_Hall '-F 2 2'
loop_
_atom_site_label
_atom_site_fract_x
_atom_site_fract_y
_atom_site_fract_z
Tm1 0.000 0.178 0.000
Mo1 0.000 0.000 0.327
W1 0.250 0.250 0.250
```

Computed properties:
**Energy relative to the elements**: 0.417 eV per atom
**Fermi-level density of states**: 15.4 states/eV/cell

=====

# 21
A relaxed KZr2Mo crystal, computed with PBE.

CIF file:
```
data_KZr2Mo
_chemical_formula_sum 'K4 Zr8 Mo4'
_cell_length_a 7.072
_cell_length_b 7.072
_cell_length_c 7.072
_cell_angle_alpha 90.00
_cell_angle_beta 90.00
_cell_angle_gamma 90.00
_symmetry_space_group_name_H-M 'F m -3 m'
_symmetry_Int_Tables_number 225
_symmetry_space_group_name_Hall '-F 4 2 3'
loop_
_atom_site_label
_atom_site_fract_x
_atom_site_fract_y
_atom_site_fract_z
K1 0.000 0.000 0.000
Zr1 0.250 0.250 0.250
Mo1 0.000 0.000 0.500
```

Computed properties:
**Energy relative to the elements**: 0.957 eV per atom
**Fermi-level density of states**: 19.6 states/eV/cell